A geometry-optimized Ba2AlTl structure, computed with GGA-PBE.

Properties
ΔE_f: 0.149 eV per atom
electronic total energy: -2.3391 eV/atom
crystal system: tetragonal
distance to the lowest polymorph of the same formula: 367 meV/atom

The structure in CIF format:
```
data_Ba2AlTl
_chemical_formula_sum 'Ba8 Al4 Tl4'
_cell_length_a 9.4255
_cell_length_b 9.4255
_cell_length_c 7.6693
_cell_angle_alpha 90.00
_cell_angle_beta 90.00
_cell_angle_gamma 90.00
_space_group_name_H-M_alt 'I -4 2 d'
_space_group_IT_number 122
_space_group_name_Hall 'I -4 2bw'
loop_
_atom_site_label
_atom_site_type_symbol
_atom_site_fract_x
_atom_site_fract_y
_atom_site_fract_z
Ba1 Ba 0.2391 0.7500 0.1250
Al1 Al 0.0000 0.0000 0.0000
Tl1 Tl 0.0000 0.0000 0.5000
```